1.
VASP calculation (PBE-GGA) on a relaxed structure of RbMg3O4.

As for the space group: Pm-3m. As for the crystal system: cubic.

Lattice parameters (Å, degrees): 4.644 4.644 4.644 90.00 90.00 90.00
Site moments in Bohr magnetons follow the coordinates.
Fractional coordinates of all 8 atoms:
Mg 0.000 0.500 0.500  0.00
Mg 0.500 0.500 0.000  0.00
Rb 0.000 0.000 0.000  0.04
O 0.000 0.500 0.000  0.06
Mg 0.500 0.000 0.500  0.00
O 0.000 0.000 0.500  0.06
O 0.500 0.000 0.000  0.06
O 0.500 0.500 0.500  0.00



2.
VASP calculation (PBE-GGA) on a relaxed structure of RbMg2O.

As for the space group: I4_1/amd. As for the crystal system: tetragonal.

Lattice parameters (Å, degrees): 6.794 6.794 6.790 59.98 59.98 90.00
Fractional coordinates of all 8 atoms:
Mg 0.375 0.625 0.750
Mg 0.875 0.625 0.750
O 0.250 0.750 0.500
Mg 0.375 0.625 0.250
Rb 0.000 0.000 0.000
Rb 0.750 0.250 0.500
Mg 0.375 0.125 0.250
O 0.500 0.500 0.000



3.
VASP calculation (PBE-GGA) on a relaxed structure of Rb2MgO2.

The value obtained for the energy relative to the lowest polymorph listed for this composition is 0.11 eV per formula unit. As for the space group: P2_1/c. As for the crystal system: monoclinic.

Lattice parameters (Å, degrees): 6.505 9.856 16.158 60.92 90.00 90.00
Site moments in Bohr magnetons follow the coordinates.
Fractional coordinates of all 40 atoms:
Rb 0.436 0.426 0.124  0.00
Rb 0.118 0.080 0.168  0.00
Rb 0.840 0.151 0.533  0.00
O 0.731 0.742 0.022  0.02
Rb 0.579 0.321 0.763  0.00
Mg 0.123 0.239 0.878  0.00
Rb 0.618 0.920 0.332  0.00
Rb 0.160 0.849 0.467  0.00
Mg 0.877 0.761 0.122  0.00
O 0.897 0.380 0.860  0.02
O 0.872 0.371 0.073  0.04
O 0.372 0.629 0.427  0.04
O 0.128 0.629 0.927  0.04
Rb 0.064 0.426 0.624  0.00
O 0.306 0.139 0.306  0.06
O 0.603 0.380 0.360  0.02
Rb 0.382 0.080 0.668  0.00
Mg 0.623 0.761 0.622  0.00
O 0.769 0.742 0.522  0.02
O 0.269 0.258 0.978  0.02
Rb 0.882 0.920 0.832  0.00
Rb 0.921 0.321 0.263  0.00
O 0.231 0.258 0.478  0.02
Rb 0.079 0.679 0.737  0.00
O 0.397 0.620 0.640  0.02
Mg 0.953 0.589 0.039  0.00
Rb 0.660 0.151 0.033  0.00
Rb 0.421 0.679 0.237  0.00
O 0.628 0.371 0.573  0.04
Rb 0.340 0.849 0.967  0.00
O 0.103 0.620 0.140  0.02
O 0.694 0.861 0.694  0.06
O 0.194 0.139 0.806  0.06
Rb 0.936 0.574 0.376  0.00
Mg 0.377 0.239 0.378  0.00
Rb 0.564 0.574 0.876  0.00
O 0.806 0.861 0.194  0.06
Mg 0.453 0.411 0.461  0.00
Mg 0.547 0.589 0.539  0.00
Mg 0.047 0.411 0.961  0.00



4.
VASP calculation (PBE-GGA) on a relaxed structure of Rb2MgO2.

The value obtained for the energy relative to the lowest polymorph listed for this composition is 0.80 eV per formula unit. As for the space group: Cmc2_1. As for the crystal system: orthorhombic.

Lattice parameters (Å, degrees): 3.643 6.353 8.788 90.00 101.96 90.00
Fractional coordinates of all 10 atoms:
Rb 0.275 0.894 0.550
Rb 0.922 0.605 0.844
O 0.505 0.372 0.011
Mg 0.570 0.633 0.140
Mg 0.430 0.133 0.860
O 0.859 0.130 0.718
O 0.495 0.872 0.989
Rb 0.725 0.394 0.450
O 0.141 0.630 0.282
Rb 0.078 0.105 0.156



5.
VASP calculation (PBE-GGA) on a relaxed structure of RbMgO3.

As for the space group: Pm-3m. As for the crystal system: cubic.

Lattice parameters (Å, degrees): 4.108 4.108 4.108 90.00 90.00 90.00
Site moments in Bohr magnetons follow the coordinates.
Fractional coordinates of all 5 atoms:
O 0.500 0.000 0.000  0.77
Rb 0.500 0.500 0.500  0.02
O 0.000 0.500 0.000  0.82
Mg 0.000 0.000 0.000  -0.01
O 0.000 0.000 0.500  0.88



6.
VASP calculation (PBE-GGA) on a relaxed structure of Rb2Mg2O3.

As for the space group: P2_1/c. As for the crystal system: monoclinic.

Lattice parameters (Å, degrees): 6.034 6.323 6.680 90.00 66.47 90.00
Site moments in Bohr magnetons follow the coordinates.
Fractional coordinates of all 14 atoms:
Rb 0.181 0.121 0.578  0.00
O 0.000 0.500 0.500  0.05
O 0.417 0.850 0.195  0.01
Rb 0.819 0.879 0.422  0.00
Mg 0.338 0.604 0.422  0.00
Rb 0.181 0.379 0.078  0.00
Mg 0.662 0.104 0.078  0.00
Mg 0.338 0.896 0.922  0.00
Rb 0.819 0.621 0.922  0.00
O 0.000 0.000 0.000  0.05
Mg 0.662 0.396 0.578  0.00
O 0.417 0.650 0.695  0.01
O 0.583 0.150 0.805  0.01
O 0.583 0.350 0.305  0.01



7.
VASP calculation (PBE-GGA) on a relaxed structure of RbMgO2.

As for the space group: R-3m. As for the crystal system: trigonal.

Lattice parameters (Å, degrees): 7.056 7.056 7.056 26.83 26.83 26.83
Site moments in Bohr magnetons follow the coordinates.
Fractional coordinates of all 4 atoms:
Mg 0.500 0.500 0.500  -0.01
Rb 0.000 0.000 0.000  0.03
O 0.118 0.118 0.118  0.41
O 0.882 0.882 0.882  0.41



8.
VASP calculation (PBE-GGA) on a relaxed structure of Rb2MgO2.

The value obtained for the energy relative to the lowest polymorph listed for this composition is 0.00 eV per formula unit. As for the space group: Ibam. As for the crystal system: orthorhombic.

Lattice parameters (Å, degrees): 5.565 6.485 6.979 117.69 113.50 90.00
Fractional coordinates of all 10 atoms:
O 0.091 0.259 0.182
O 0.409 0.077 0.818
O 0.909 0.741 0.818
Rb 0.155 0.796 0.309
Mg 0.750 0.000 0.000
Mg 0.250 0.000 0.000
O 0.591 0.923 0.182
Rb 0.345 0.487 0.691
Rb 0.655 0.513 0.309
Rb 0.845 0.204 0.691



9.
VASP calculation (PBE-GGA) on a relaxed structure of RbMgO3.

As for the space group: Pm-3m. As for the crystal system: cubic.

Lattice parameters (Å, degrees): 4.228 4.228 4.228 90.00 90.00 90.00
Fractional coordinates of all 5 atoms:
O 0.000 0.000 0.500
Mg 0.500 0.500 0.500
O 0.000 0.500 0.000
O 0.500 0.000 0.000
Rb 0.000 0.000 0.000



10.
VASP calculation (PBE-GGA) on a relaxed structure of RbMgO2.

As for the space group: R-3m. As for the crystal system: trigonal.

Lattice parameters (Å, degrees): 7.561 7.561 7.561 28.75 28.75 28.75
Site moments in Bohr magnetons follow the coordinates.
Fractional coordinates of all 4 atoms:
O 0.916 0.916 0.916  0.42
Rb 0.500 0.500 0.500  0.01
Mg 0.000 0.000 0.000  -0.01
O 0.084 0.084 0.084  0.42



11.
VASP calculation (PBE-GGA) on a relaxed structure of RbMgO2.

As for the space group: I4_1/amd. As for the crystal system: tetragonal.

Lattice parameters (Å, degrees): 5.112 5.112 6.830 68.03 68.03 90.00
Fractional coordinates of all 8 atoms:
Mg 0.500 0.500 0.000
Rb 0.750 0.250 0.500
O 0.875 0.626 0.750
Mg 0.250 0.750 0.500
O 0.374 0.625 0.250
O 0.375 0.624 0.750
Rb 0.000 0.000 0.000
O 0.376 0.125 0.250



12.
VASP calculation (PBE-GGA) on a relaxed structure of RbMg2ReO.

As for the space group: P4/mmm. As for the crystal system: tetragonal.

Lattice parameters (Å, degrees): 5.164 6.730 5.164 90.00 90.00 90.00
Site moments in Bohr magnetons follow the coordinates.
Fractional coordinates of all 5 atoms:
Mg 0.500 0.000 0.000  0.00
Re 0.000 0.000 0.000  2.24
Mg 0.000 0.000 0.500  0.00
Rb 0.000 0.500 0.000  0.02
O 0.500 0.500 0.500  0.13



Uncorrected formation energy across the listed records, respectively: -1.6086; -0.8055; -1.6124; -1.4752; -0.9676; -1.8863; -1.2478; -1.6348; 0.5044; -0.8737; -1.5263; 1.3780 eV/atom.